Arrangement A

## NbAgAsO (PBE)

Data for NbAgAsO after structural relaxation.

Structure (CIF):
```
data_NbAgAsO
_chemical_formula_sum 'Nb2 Ag2 As2 O2'
_symmetry_space_group_name_H-M 'P 4/n m m'
_symmetry_Int_Tables_number 129
_cell_length_a 3.6745
_cell_length_b 3.6745
_cell_length_c 9.1608
_cell_angle_alpha 90.00
_cell_angle_beta 90.00
_cell_angle_gamma 90.00
loop_
_symmetry_equiv_pos_as_xyz
'x,y,z'
'-x,-y,-z'
'-y+1/2,x,z'
'y+1/2,-x,-z'
'-x+1/2,-y+1/2,z'
'x+1/2,y+1/2,-z'
'y,-x+1/2,z'
'-y,x+1/2,-z'
'x+1/2,-y,-z'
'-x+1/2,y,z'
'-y,-x,-z'
'y,x,z'
'-x,y+1/2,-z'
'x,-y+1/2,z'
'y+1/2,x+1/2,-z'
'-y+1/2,-x+1/2,z'
loop_
_atom_site_label
_atom_site_type_symbol
_atom_site_fract_x
_atom_site_fract_y
_atom_site_fract_z
Nb1 Nb 0.2500 0.2500 0.1295
Ag1 Ag 0.2500 0.7500 0.5000
As1 As 0.2500 0.2500 0.7328
O1 O 0.2500 0.7500 0.0000
```

Output
The calculated volume is 124 Å³/cell.

Arrangement B

## NbAgAsO (PBE)

Data for NbAgAsO after structural relaxation.

Structure (CIF):
```
data_NbAgAsO
_chemical_formula_sum 'Nb2 Ag2 As2 O2'
_symmetry_space_group_name_H-M 'P m c 21'
_symmetry_Int_Tables_number 26
_symmetry_space_group_name_Hall 'P 2c -2'
_cell_length_a 3.3404
_cell_length_b 6.7924
_cell_length_c 6.7171
_cell_angle_alpha 90.00
_cell_angle_beta 90.00
_cell_angle_gamma 90.00
loop_
_atom_site_label
_atom_site_type_symbol
_atom_site_fract_x
_atom_site_fract_y
_atom_site_fract_z
Nb1 Nb 0.0000 0.0654 0.0000
Ag1 Ag 0.5000 0.3295 0.4848
As1 As 0.5000 0.3130 0.8570
O1 O 0.0000 0.1342 0.2830
```

Output
The calculated volume is 152 Å³/cell.

Stability check: which of them is least stable? arrangement B.

Arrangement A

## LaCdInSe3 (PBE)

Data for LaCdInSe3 after structural relaxation.

Structure (CIF):
```
data_LaCdInSe3
_chemical_formula_sum 'La4 Cd4 In4 Se12'
_symmetry_space_group_name_H-M 'C 1 2/m 1'
_symmetry_Int_Tables_number 12
_symmetry_space_group_name_Hall '-C 2y'
_cell_length_a 18.1151
_cell_length_b 4.3518
_cell_length_c 9.4695
_cell_angle_alpha 90.00
_cell_angle_beta 107.25
_cell_angle_gamma 90.00
loop_
_atom_site_label
_atom_site_type_symbol
_atom_site_fract_x
_atom_site_fract_y
_atom_site_fract_z
La1 La 0.1766 0.0000 0.1137
Cd1 Cd 0.0058 0.5000 0.2109
In1 In 0.1318 0.0000 0.5716
Se1 Se 0.0000 0.0000 0.0000
Se2 Se 0.0000 0.5000 0.5000
Se3 Se 0.1583 0.5000 0.8820
Se4 Se 0.1635 0.5000 0.3182
```

Output
The calculated volume is 713 Å³/cell.

Arrangement B

## LaCdInSe3 (PBE)

Data for LaCdInSe3 after structural relaxation.

Structure (CIF):
```
data_LaCdInSe3
_chemical_formula_sum 'La4 Cd4 In4 Se12'
_symmetry_space_group_name_H-M 'P n m a'
_symmetry_Int_Tables_number 62
_symmetry_space_group_name_Hall '-P 2ac 2n'
_cell_length_a 11.6189
_cell_length_b 4.4163
_cell_length_c 14.1491
_cell_angle_alpha 90.00
_cell_angle_beta 90.00
_cell_angle_gamma 90.00
loop_
_atom_site_label
_atom_site_type_symbol
_atom_site_fract_x
_atom_site_fract_y
_atom_site_fract_z
La1 La 0.0123 0.2500 0.2329
Cd1 Cd 0.2385 0.2500 0.7135
In1 In 0.2019 0.7500 0.4984
Se1 Se 0.0382 0.2500 0.6236
Se2 Se 0.0814 0.7500 0.1021
Se3 Se 0.2441 0.7500 0.8271
```

Output
The calculated volume is 726 Å³/cell.

Stability check: which of them is least stable? arrangement A.

Arrangement A

## LiCuReSb (PBE)

Data for LiCuReSb after structural relaxation.

Structure (CIF):
```
data_LiCuReSb
_chemical_formula_sum 'Li4 Cu4 Re4 Sb4'
_symmetry_space_group_name_H-M 'F -4 3 m'
_symmetry_Int_Tables_number 216
_symmetry_space_group_name_Hall 'F -4 2 3'
_cell_length_a 6.2035
_cell_length_b 6.2035
_cell_length_c 6.2035
_cell_angle_alpha 90.00
_cell_angle_beta 90.00
_cell_angle_gamma 90.00
loop_
_atom_site_label
_atom_site_type_symbol
_atom_site_fract_x
_atom_site_fract_y
_atom_site_fract_z
Li1 Li 0.0000 0.0000 0.0000
Cu1 Cu 0.0000 0.0000 0.5000
Re1 Re 0.2500 0.2500 0.7500
Sb1 Sb 0.2500 0.2500 0.2500
```

Output
The calculated volume is 239 Å³/cell.

Arrangement B

## LiCuReSb (PBE)

Data for LiCuReSb after structural relaxation.

Structure (CIF):
```
data_LiCuReSb
_chemical_formula_sum 'Li4 Cu4 Re4 Sb4'
_symmetry_space_group_name_H-M 'F -4 3 m'
_symmetry_Int_Tables_number 216
_symmetry_space_group_name_Hall 'F -4 2 3'
_cell_length_a 6.2320
_cell_length_b 6.2320
_cell_length_c 6.2320
_cell_angle_alpha 90.00
_cell_angle_beta 90.00
_cell_angle_gamma 90.00
loop_
_atom_site_label
_atom_site_type_symbol
_atom_site_fract_x
_atom_site_fract_y
_atom_site_fract_z
Li1 Li 0.0000 0.0000 0.0000
Cu1 Cu 0.2500 0.2500 0.7500
Re1 Re 0.2500 0.2500 0.2500
Sb1 Sb 0.0000 0.0000 0.5000
```

Output
The calculated volume is 242 Å³/cell.

Stability check: which of them is least stable? arrangement A.